# 1
DFT (PBE) results for an optimized crystal structure of LiCa2ReMo.

```
LiCa2ReMo
1.0
5.709 0.000 0.000
0.000 4.703 0.000
0.000 0.000 5.709
Li Ca Re Mo
1 2 1 1
Cartesian
2.855 2.351 2.855
0.000 0.000 2.855
2.855 0.000 0.000
0.000 0.000 0.000
0.000 2.351 0.000
```

Computed properties:
Formation enthalpy at 0 K = 0.8728 eV/atom

# 2
DFT (PBE) results for an optimized crystal structure of Li2YSi2.

```
Li2YSi2
1.0
7.724 0.000 0.000
0.000 7.724 0.000
0.000 0.000 2.851
Li Si Y
4 4 2
Cartesian
4.741 0.879 0.000
6.845 4.741 0.000
0.879 2.983 0.000
2.983 6.845 0.000
6.344 2.482 1.425
5.242 6.344 1.425
2.482 1.380 1.425
1.380 5.242 1.425
3.862 3.862 0.000
0.000 0.000 0.000
```

Computed properties:
ΔE_f (raw) = -261.1 meV/atom
Offset from the most stable computed form = 228 meV per atom

# 3
DFT (PBE) results for an optimized crystal structure of Pm6Mg5Hg.

```
Pm6Mg5Hg
1.0
5.170 -0.031 1.724
0.041 7.684 0.014
-0.001 -0.015 8.628
Mg Pm Hg
5 6 1
Cartesian
0.021 3.842 0.007
3.471 -0.031 6.825
3.469 3.811 6.896
1.741 3.827 3.470
1.698 -0.015 3.527
2.616 5.765 0.872
0.865 1.913 6.063
0.885 5.740 6.069
4.345 5.725 4.303
4.325 1.897 4.297
2.595 1.888 0.866
0.000 0.000 0.000
```

Computed properties:
Formation enthalpy at 0 K = -0.1669 eV/atom

# 4
DFT (PBE) results for an optimized crystal structure of Mo2AsW.

```
Mo2AsW
1.0
-1.910 -1.995 3.499
-3.203 -3.033 -0.638
0.810 -4.305 0.827
Mo W As
2 1 1
Cartesian
0.000 0.000 0.000
-1.076 -2.333 0.922
-3.228 -6.999 2.766
-2.152 -4.666 1.844
```

Computed properties:
Formation enthalpy at 0 K = 0.3384 eV/atom

# 5
DFT (PBE) results for an optimized crystal structure of InCo5.

```
InCo5
1.0
0.298 1.437 6.791
-2.903 -1.424 -6.149
0.189 -4.030 0.845
Co In
5 1
Cartesian
-0.719 0.528 2.679
-1.837 -0.472 -1.842
0.251 1.395 6.602
-1.418 -2.197 -0.106
-0.285 -1.184 4.473
-2.456 -3.124 -4.301
```

Computed properties:
Formation enthalpy at 0 K = 0.1760 eV/atom

# 6
DFT (PBE) results for an optimized crystal structure of Mg5AlCd6.

```
Mg5AlCd6
1.0
4.275 -0.040 -1.222
-3.087 7.244 -2.645
-0.024 0.071 8.307
Cd Mg Al
6 5 1
Cartesian
2.427 1.795 0.496
-1.264 5.481 3.943
1.383 4.268 5.155
0.363 6.654 1.511
-0.219 3.008 -0.715
0.801 0.621 2.929
-2.068 4.858 0.999
-1.043 2.458 4.663
1.621 1.204 5.936
0.582 3.638 2.220
-0.458 6.072 -1.496
0.000 0.000 0.000
```

Computed properties:
Formation enthalpy at 0 K = -0.0578 eV/atom